Here is ZrPa after structural relaxation from Alexandria via LeMat-Bulk. Energies are from PBE-GGA.

Summary:
DFT total energy   -17.45 eV for the cell shown
Offset from the most stable computed form   53 kJ/mol of formula units
Energy of formation from the pure elements   298.0 meV/atom
Fermi-level density of states   6.27 states/eV/cell

abc: 3.6593 3.6593 3.6593
angles: 90.00 90.00 90.00
With the nearest neighbours (Å) after each atom.
Positions (direct):
Zr 0.0000 0.0000 0.0000  8 Pa 3.17
Pa 0.5000 0.5000 0.5000  8 Zr 3.17


Here is Zr3Pa2 after structural relaxation from Alexandria via LeMat-Bulk. Energies are from PBE-GGA.

Summary:
DFT total energy   -88.40 eV for the cell shown
Offset from the most stable computed form   0 kJ/mol of formula units
Energy of formation from the pure elements   87.6 meV/atom
Fermi-level density of states   18.29 states/eV/cell

abc: 14.9517 14.0405 5.6084
angles: 88.17 69.81 22.02
With the nearest neighbours (Å) after each atom.
Positions (direct):
Zr 0.0233 0.0233 0.2267  6 Zr 3.09-3.25, 4 Pa 3.18-3.22
Zr 0.2267 0.2267 0.0233  6 Zr 3.09-3.25, 4 Pa 3.18-3.22
Zr 0.3750 0.3750 0.3750  4 Pa 3.11, 6 Zr 3.17-3.25
Zr 0.6250 0.6250 0.6250  4 Pa 3.11, 6 Zr 3.17-3.25
Zr 0.7733 0.7733 0.9767  6 Zr 3.09-3.25, 4 Pa 3.18-3.22
Zr 0.9767 0.9767 0.7733  6 Zr 3.09-3.25, 4 Pa 3.18-3.22
Pa 0.1729 0.1729 0.5771  6 Zr 3.11-3.22, 4 Pa 3.11-3.17
Pa 0.4229 0.4229 0.8271  6 Zr 3.11-3.22, 4 Pa 3.11-3.17
Pa 0.5771 0.5771 0.1729  6 Zr 3.11-3.22, 4 Pa 3.11-3.17
Pa 0.8271 0.8271 0.4229  6 Zr 3.11-3.22, 4 Pa 3.11-3.17


Here is ZrPa after structural relaxation from Alexandria via LeMat-Bulk. Energies are from PBE-GGA.

Summary:
DFT total energy   -35.60 eV for the cell shown
Offset from the most stable computed form   19 kJ/mol of formula units
Energy of formation from the pure elements   123.0 meV/atom
Fermi-level density of states   7.27 states/eV/cell

abc: 5.7399 5.7399 3.2390
angles: 96.30 96.30 111.36
With the nearest neighbours (Å) after each atom.
Positions (direct):
Zr 0.2299 0.7701 0.0000  8 Pa 3.14-3.51, 4 Zr 3.24-3.26
Zr 0.7701 0.2299 0.0000  8 Pa 3.14-3.51, 4 Zr 3.24-3.26
Pa 0.2913 0.2913 0.5379  1 Pa 2.76
Pa 0.7087 0.7087 0.4621  1 Pa 2.76


Here is Zr3Pa after structural relaxation from Alexandria via LeMat-Bulk. Energies are from PBE-GGA.

Summary:
DFT total energy   -34.75 eV for the cell shown
Offset from the most stable computed form   10 kJ/mol of formula units
Energy of formation from the pure elements   98.0 meV/atom
Fermi-level density of states   7.82 states/eV/cell

abc: 5.0987 5.0987 5.0987
angles: 60.00 60.00 60.00
With the nearest neighbours (Å) after each atom.
Positions (direct):
Zr 0.0000 0.0000 0.0000  8 Zr 3.12
Zr 0.2500 0.2500 0.2500  4 Pa 3.12, 4 Zr 3.12
Zr 0.7500 0.7500 0.7500  4 Pa 3.12, 4 Zr 3.12
Pa 0.5000 0.5000 0.5000  8 Zr 3.12


Here is ZrPa8 after structural relaxation from Alexandria via LeMat-Bulk. Energies are from PBE-GGA.

Summary:
DFT total energy   -84.22 eV for the cell shown
Energy of formation from the pure elements   32.3 meV/atom
Fermi-level density of states   15.88 states/eV/cell

abc: 7.3761 7.3761 7.3761
angles: 95.49 95.49 143.98
With the nearest neighbours (Å) after each atom.
Positions (direct):
Zr 0.0000 0.0000 0.0000  12 Pa 3.26-3.30
Pa 0.0000 0.3326 0.3326  11 Pa 3.26-3.32, 1 Zr 3.30
Pa 0.0000 0.6674 0.6674  11 Pa 3.26-3.32, 1 Zr 3.30
Pa 0.3326 0.0000 0.3326  11 Pa 3.26-3.32, 1 Zr 3.30
Pa 0.3337 0.3337 0.6675  2 Zr 3.26, 10 Pa 3.26-3.31
Pa 0.3337 0.6663 0.0000  2 Zr 3.26, 10 Pa 3.26-3.31
Pa 0.6663 0.3337 0.0000  2 Zr 3.26, 10 Pa 3.26-3.31
Pa 0.6663 0.6663 0.3325  2 Zr 3.26, 10 Pa 3.26-3.31
Pa 0.6674 0.0000 0.6674  11 Pa 3.26-3.32, 1 Zr 3.30


Here is Zr3Pa2 after structural relaxation from Alexandria via LeMat-Bulk. Energies are from PBE-GGA.

Summary:
DFT total energy   -87.00 eV for the cell shown
Offset from the most stable computed form   67 kJ/mol of formula units
Energy of formation from the pure elements   227.0 meV/atom
Fermi-level density of states   10.61 states/eV/cell

abc: 6.1952 6.1952 6.1952
angles: 89.45 89.45 89.45
With the nearest neighbours (Å) after each atom.
Positions (direct):
Zr 0.0854 0.7500 0.4146  4 Pa 2.93-3.22
Zr 0.2500 0.5854 0.9146  4 Pa 2.93-3.22
Zr 0.4146 0.0854 0.7500  4 Pa 2.93-3.22
Zr 0.5854 0.9146 0.2500  4 Pa 2.93-3.22
Zr 0.7500 0.4146 0.0854  4 Pa 2.93-3.22
Zr 0.9146 0.2500 0.5854  4 Pa 2.93-3.22
Pa 0.1248 0.1248 0.1248  2 Pa 2.70-2.71, 3 Zr 2.93
Pa 0.3752 0.3752 0.3752  2 Pa 2.70-2.71, 3 Zr 2.93
Pa 0.6248 0.6248 0.6248  2 Pa 2.70-2.71, 3 Zr 2.93
Pa 0.8752 0.8752 0.8752  2 Pa 2.70-2.71, 3 Zr 2.93


Question: The highest DFT total energy belongs to which entry?
Answer: number 1


Question: What is the formula in the second record?
Answer: Zr3Pa2